Record 1
Th2As7Pd12: relaxed, PBE-GGA.

Uncorrected energy (eV for the cell shown): -122.46
Space group: No. 147
Formation enthalpy at 0 K (eV per atom): -0.61
Density of states at the Fermi level (states/eV/atom): 0.51

Cell: 10.0858 10.0858 4.1925 Å, 90.00 90.00 120.00°
Fractional coordinates of all 21 atoms:
1 Th 0.3333 0.6667 0.2452
2 Th 0.6667 0.3333 0.7548
3 As 0.0000 0.0000 0.5000
4 As 0.1146 0.4060 0.7412
5 As 0.2914 0.8854 0.7412
6 As 0.4060 0.2914 0.2588
7 As 0.5940 0.7086 0.7412
8 As 0.7086 0.1146 0.2588
9 As 0.8854 0.5940 0.2588
10 Pd 0.0609 0.6201 0.7479
11 Pd 0.1156 0.8609 0.2239
12 Pd 0.1391 0.2547 0.2239
13 Pd 0.2547 0.1156 0.7761
14 Pd 0.3799 0.4408 0.7479
15 Pd 0.4408 0.0609 0.2521
16 Pd 0.5592 0.9391 0.7479
17 Pd 0.6201 0.5592 0.2521
18 Pd 0.7453 0.8844 0.2239
19 Pd 0.8609 0.7453 0.7761
20 Pd 0.8844 0.1391 0.7761
21 Pd 0.9391 0.3799 0.2521

***

Record 2
BeCd2As: relaxed, PBE-GGA.

Uncorrected energy (eV for the cell shown): -9.00
Space group: No. 99
Formation enthalpy at 0 K (eV per atom): 0.30
Offset from the most stable computed form (meV/atom): 158.1
Density of states at the Fermi level (states/eV/atom): 0.38

Cell: 3.0165 3.0165 8.6221 Å, 90.00 90.00 90.00°
Fractional coordinates of all 4 atoms:
1 Be 0.0000 0.0000 0.0000
2 Cd 0.0000 0.0000 0.5313
3 Cd 0.5000 0.5000 0.2286
4 As 0.5000 0.5000 0.8618

***

Record 3
SrAcInAu: relaxed, PBE-GGA.

Uncorrected energy (eV for the cell shown): -14.04
Space group: No. 216
Formation enthalpy at 0 K (eV per atom): -0.56
Offset from the most stable computed form (meV/atom): 41.3
Density of states at the Fermi level (states/eV/atom): 1.18

Cell: 5.6363 5.6363 5.6363 Å, 60.00 60.00 60.00°
Fractional coordinates of all 4 atoms:
1 Sr 0.0000 0.0000 0.0000
2 Ac 0.5000 0.5000 0.5000
3 In 0.7500 0.7500 0.7500
4 Au 0.2500 0.2500 0.2500

***

Record 4
ZnCrMo2H: relaxed, PBE-GGA.

Uncorrected energy (eV for the cell shown): -35.07
Space group: No. 123
Density of states at the Fermi level (states/eV/atom): 0.67

Cell: 4.0041 4.0041 3.7314 Å, 90.00 90.00 90.00°
Fractional coordinates of all 5 atoms:
1 Zn 0.0000 0.0000 0.0000
2 Cr 0.5000 0.5000 0.0000
3 Mo 0.0000 0.5000 0.5000
4 Mo 0.5000 0.0000 0.5000
5 H 0.5000 0.5000 0.5000

***

Record 5
Sm2HoPa2Ru5: relaxed, PBE-GGA.

Uncorrected energy (eV for the cell shown): -164.58
Space group: No. 127
Formation enthalpy at 0 K (eV per atom): -0.29
Density of states at the Fermi level (states/eV/atom): 0.71

Cell: 10.6573 10.6573 3.7084 Å, 90.00 90.00 90.00°
Fractional coordinates of all 20 atoms:
1 Sm 0.1743 0.3257 0.0000
2 Sm 0.3257 0.8257 0.0000
3 Sm 0.6743 0.1743 0.0000
4 Sm 0.8257 0.6743 0.0000
5 Ho 0.0000 0.0000 0.0000
6 Ho 0.5000 0.5000 0.0000
7 Pa 0.1336 0.6336 0.0000
8 Pa 0.3664 0.1336 0.0000
9 Pa 0.6336 0.8664 0.0000
10 Pa 0.8664 0.3664 0.0000
11 Ru 0.0000 0.5000 0.5000
12 Ru 0.0549 0.7909 0.5000
13 Ru 0.2091 0.0549 0.5000
14 Ru 0.2909 0.5549 0.5000
15 Ru 0.4451 0.2909 0.5000
16 Ru 0.5000 0.0000 0.5000
17 Ru 0.5549 0.7091 0.5000
18 Ru 0.7091 0.4451 0.5000
19 Ru 0.7909 0.9451 0.5000
20 Ru 0.9451 0.2091 0.5000

***

Record 6
SrH3Pt: relaxed, PBE-GGA.

Uncorrected energy (eV for the cell shown): -40.30
Space group: No. 11
Density of states at the Fermi level (states/eV/atom): 0.10

Cell: 5.2554 5.2551 5.5012 Å, 90.00 114.56 90.00°
Fractional coordinates of all 10 atoms:
1 Sr 0.2092 0.2500 0.2898
2 Sr 0.7908 0.7500 0.7102
3 H 0.2706 0.7500 0.2840
4 H 0.3461 0.5265 0.7915
5 H 0.3461 0.9735 0.7915
6 H 0.6539 0.0265 0.2085
7 H 0.6539 0.4735 0.2085
8 H 0.7294 0.2500 0.7160
9 Pt 0.4373 0.7500 0.0723
10 Pt 0.5627 0.2500 0.9277

***

Record 7
InHg2S: relaxed, PBE-GGA.

Uncorrected energy (eV for the cell shown): -8.14
Space group: No. 1
E_form (uncorrected) (meV/atom): -168
Density of states at the Fermi level (states/eV/atom): 0.45

Cell: 3.9287 3.9299 8.8160 Å, 89.60 89.74 60.29°
Fractional coordinates of all 4 atoms:
1 In 0.0000 0.0000 0.0000
2 Hg 0.3323 0.3379 0.4606
3 Hg 0.9962 0.9994 0.6798
4 S 0.3334 0.3322 0.1461

***

Record 8
SrY2Cu: relaxed, PBE-GGA.

Uncorrected energy (eV for the cell shown): -17.29
Space group: No. 12
Formation enthalpy at 0 K (eV per atom): 0.35
Offset from the most stable computed form (meV/atom): 346.7
Density of states at the Fermi level (states/eV/atom): 1.32

Cell: 6.7545 6.7545 3.5696 Å, 103.44 103.44 122.08°
Fractional coordinates of all 4 atoms:
1 Sr 0.0000 0.0000 0.0000
2 Y 0.0000 0.5000 0.5000
3 Y 0.5000 0.0000 0.5000
4 Cu 0.5000 0.5000 0.0000

***

Record 9
KTaTl: relaxed, PBE-GGA.

Uncorrected energy (eV for the cell shown): -12.83
Space group: No. 107
Formation enthalpy at 0 K (eV per atom): 0.83
Offset from the most stable computed form (meV/atom): 15.8
Density of states at the Fermi level (states/eV/atom): 1.15

Cell: 8.7817 8.7817 8.7817 Å, 160.23 160.23 28.10°
Fractional coordinates of all 3 atoms:
1 K 0.0000 0.0000 0.0000
2 Ta 0.6892 0.6892 0.0000
3 Tl 0.3290 0.3290 0.0000

***

Record 10
CoHgH2Rh: relaxed, PBE-GGA.

Uncorrected energy (eV for the cell shown): -19.04
Space group: No. 123
Density of states at the Fermi level (states/eV/atom): 0.85

Cell: 3.5955 3.5955 4.8299 Å, 90.00 90.00 90.00°
Fractional coordinates of all 5 atoms:
1 Co 0.0000 0.0000 0.0000
2 Hg 0.5000 0.5000 0.0000
3 H 0.0000 0.5000 0.5000
4 H 0.5000 0.0000 0.5000
5 Rh 0.0000 0.0000 0.5000

***

Record 11
YRe2Sb: relaxed, PBE-GGA.

Uncorrected energy (eV for the cell shown): -34.30
Space group: No. 12
E_form (uncorrected) (meV/atom): 295
Density of states at the Fermi level (states/eV/atom): 0.77

Cell: 5.3003 5.3003 4.7424 Å, 107.45 107.45 42.45°
Fractional coordinates of all 4 atoms:
1 Y 0.0000 0.0000 0.0000
2 Re 0.2353 0.2353 0.6484
3 Re 0.7647 0.7647 0.3516
4 Sb 0.5000 0.5000 0.5000

***

Record 12
PmPr5Y2Tm: relaxed, PBE-GGA.

Uncorrected energy (eV for the cell shown): -86.61
Space group: No. 140
Formation enthalpy at 0 K (eV per atom): 0.30
Density of states at the Fermi level (states/eV/atom): 1.56

Cell: 9.7526 9.7526 9.7526 Å, 121.35 121.35 87.67°
Fractional coordinates of all 18 atoms:
1 Pm 0.2500 0.2500 0.0000
2 Pm 0.7500 0.7500 0.0000
3 Pr 0.0000 0.0000 0.0000
4 Pr 0.0682 0.5682 0.9035
5 Pr 0.1647 0.0682 0.5000
6 Pr 0.3353 0.8353 0.9035
7 Pr 0.4318 0.3353 0.5000
8 Pr 0.5000 0.5000 0.0000
9 Pr 0.5682 0.6647 0.5000
10 Pr 0.6647 0.1647 0.0965
11 Pr 0.8353 0.9318 0.5000
12 Pr 0.9318 0.4318 0.0965
13 Y 0.1080 0.3920 0.5000
14 Y 0.3920 0.8920 0.2840
15 Y 0.6080 0.1080 0.7160
16 Y 0.8920 0.6080 0.5000
17 Tm 0.2500 0.7500 0.5000
18 Tm 0.7500 0.2500 0.5000

***

Record 13
Mo5Rh4: relaxed, PBE-GGA.

Uncorrected energy (eV for the cell shown): -167.74
Space group: No. 193
Formation enthalpy at 0 K (eV per atom): -0.03
Offset from the most stable computed form (meV/atom): 0.0
Density of states at the Fermi level (states/eV/atom): 0.66

Cell: 7.5995 7.5995 5.4729 Å, 90.00 90.00 120.00°
Fractional coordinates of all 18 atoms:
1 Mo 0.0000 0.3405 0.2500
2 Mo 0.0000 0.6595 0.7500
3 Mo 0.3333 0.6667 0.0000
4 Mo 0.3333 0.6667 0.5000
5 Mo 0.3405 0.0000 0.2500
6 Mo 0.3405 0.3405 0.7500
7 Mo 0.6595 0.0000 0.7500
8 Mo 0.6595 0.6595 0.2500
9 Mo 0.6667 0.3333 0.0000
10 Mo 0.6667 0.3333 0.5000
11 Rh 0.0000 0.0000 0.0000
12 Rh 0.0000 0.0000 0.5000
13 Rh 0.0000 0.3275 0.7500
14 Rh 0.0000 0.6725 0.2500
15 Rh 0.3275 0.0000 0.7500
16 Rh 0.3275 0.3275 0.2500
17 Rh 0.6725 0.0000 0.2500
18 Rh 0.6725 0.6725 0.7500